(one)
Entry from Alexandria via LeMat-Bulk: InW2Cl after structural relaxation (PBE).

Calculated volume = 17.889 A^3/atom
Spin magnetization = 0.00 μB per cell

abc: 10.685 2.819 5.284
angles: 90.00 115.95 90.00
Sites, in units of the cell vectors:
In 0.000 0.000 0.000
In 0.500 0.500 0.000
W 0.235 0.000 0.752
W 0.265 0.500 0.248
W 0.735 0.500 0.752
W 0.765 0.000 0.248
Cl 0.000 0.500 0.500
Cl 0.500 0.000 0.500



(two)
Entry from Alexandria via LeMat-Bulk: InW2Cl after structural relaxation (PBE).

Calculated volume = 17.329 A^3/atom
Spin magnetization = 5.18 μB per cell

abc: 6.521 6.521 6.521
angles: 90.00 90.00 90.00
Sites, in units of the cell vectors:
In 0.000 0.000 0.000
In 0.000 0.500 0.500
In 0.500 0.000 0.500
In 0.500 0.500 0.000
W 0.250 0.250 0.250
W 0.250 0.250 0.750
W 0.250 0.750 0.250
W 0.250 0.750 0.750
W 0.750 0.250 0.250
W 0.750 0.250 0.750
W 0.750 0.750 0.250
W 0.750 0.750 0.750
Cl 0.000 0.000 0.500
Cl 0.000 0.500 0.000
Cl 0.500 0.000 0.000
Cl 0.500 0.500 0.500



Ranked by calculated energy, most stable first: (one), (two).



(one)
Entry from Alexandria via LeMat-Bulk: InW3Cl after structural relaxation (PBE).

Calculated volume = 17.723 A^3/atom
Spin magnetization = 0.00 μB per cell

abc: 4.458 4.458 4.458
angles: 90.00 90.00 90.00
Sites, in units of the cell vectors:
In 0.000 0.000 0.000
W 0.000 0.500 0.500
W 0.500 0.000 0.500
W 0.500 0.500 0.000
Cl 0.500 0.500 0.500



(two)
Entry from Alexandria via LeMat-Bulk: InW3Cl after structural relaxation (PBE).

Calculated volume = 24.853 A^3/atom
Spin magnetization = 0.00 μB per cell

abc: 4.990 4.990 4.990
angles: 90.00 90.00 90.00
Sites, in units of the cell vectors:
In 0.000 0.000 0.000
W 0.000 0.000 0.500
W 0.000 0.500 0.000
W 0.500 0.000 0.000
Cl 0.500 0.500 0.500



Ranked by calculated energy, most stable first: (one), (two).



(one)
Entry from Alexandria via LeMat-Bulk: In3WCl after structural relaxation (PBE).

Calculated volume = 26.988 A^3/atom
Spin magnetization = 0.00 μB per cell

abc: 5.129 5.129 5.129
angles: 90.00 90.00 90.00
Sites, in units of the cell vectors:
In 0.000 0.000 0.500
In 0.000 0.500 0.000
In 0.500 0.000 0.000
W 0.500 0.500 0.500
Cl 0.000 0.000 0.000



(two)
Entry from Alexandria via LeMat-Bulk: In3WCl after structural relaxation (PBE).

Calculated volume = 31.977 A^3/atom
Spin magnetization = 2.65 μB per cell

abc: 5.428 5.428 5.428
angles: 90.00 90.00 90.00
Sites, in units of the cell vectors:
In 0.000 0.000 0.500
In 0.000 0.500 0.000
In 0.500 0.000 0.000
W 0.000 0.000 0.000
Cl 0.500 0.500 0.500



Ranked by calculated energy, most stable first: (two), (one).



(one)
Entry from Alexandria via LeMat-Bulk: YInCl4 after structural relaxation (PBE).

Calculated volume = 32.579 A^3/atom
Spin magnetization = 0.00 μB per cell

abc: 8.840 8.840 7.378
angles: 102.77 102.77 44.29
Sites, in units of the cell vectors:
Y 0.000 0.500 0.000
Y 0.500 0.000 0.500
In 0.241 0.759 0.750
In 0.759 0.241 0.250
Cl 0.005 0.196 0.960
Cl 0.196 0.005 0.460
Cl 0.249 0.364 0.327
Cl 0.364 0.249 0.827
Cl 0.636 0.751 0.173
Cl 0.751 0.636 0.673
Cl 0.804 0.995 0.540
Cl 0.995 0.804 0.040



(two)
Entry from Alexandria via LeMat-Bulk: YInCl4 after structural relaxation (PBE).

Calculated volume = 24.753 A^3/atom
Spin magnetization = 0.00 μB per cell

abc: 5.944 5.944 5.944
angles: 60.00 60.00 60.00
Sites, in units of the cell vectors:
Y 0.000 0.000 0.000
In 0.250 0.250 0.250
Cl 0.123 0.626 0.626
Cl 0.626 0.123 0.626
Cl 0.626 0.626 0.123
Cl 0.626 0.626 0.626



(three)
Entry from Alexandria via LeMat-Bulk: YInCl4 after structural relaxation (PBE).

Calculated volume = 35.022 A^3/atom
Spin magnetization = 0.00 μB per cell

abc: 9.869 10.310 4.130
angles: 90.00 90.00 90.00
Sites, in units of the cell vectors:
Y 0.000 0.000 0.000
Y 0.500 0.500 0.000
In 0.000 0.500 0.500
In 0.500 0.000 0.500
Cl 0.000 0.171 0.500
Cl 0.000 0.829 0.500
Cl 0.236 0.500 0.000
Cl 0.264 0.000 0.000
Cl 0.500 0.329 0.500
Cl 0.500 0.671 0.500
Cl 0.736 0.000 0.000
Cl 0.764 0.500 0.000



Ranked by calculated energy, most stable first: (one), (three), (two).



(one)
Entry from Alexandria via LeMat-Bulk: Y2InCl after structural relaxation (PBE).

Calculated volume = 25.644 A^3/atom
Spin magnetization = 0.00 μB per cell

abc: 3.653 3.653 26.633
angles: 90.00 90.00 120.00
Sites, in units of the cell vectors:
Y 0.000 0.000 0.243
Y 0.000 0.000 0.757
Y 0.333 0.667 0.423
Y 0.333 0.667 0.910
Y 0.667 0.333 0.090
Y 0.667 0.333 0.577
In 0.000 0.000 0.000
In 0.333 0.667 0.667
In 0.667 0.333 0.333
Cl 0.000 0.000 0.500
Cl 0.333 0.667 0.167
Cl 0.667 0.333 0.833



(two)
Entry from Alexandria via LeMat-Bulk: Y2InCl after structural relaxation (PBE).

Calculated volume = 26.733 A^3/atom
Spin magnetization = 0.00 μB per cell

abc: 3.769 5.994 9.468
angles: 90.00 90.00 90.00
Sites, in units of the cell vectors:
Y 0.000 0.000 0.239
Y 0.000 0.000 0.761
Y 0.500 0.500 0.239
Y 0.500 0.500 0.761
In 0.000 0.500 0.500
In 0.500 0.000 0.500
Cl 0.000 0.500 0.000
Cl 0.500 0.000 0.000



Ranked by calculated energy, most stable first: (one), (two).



(one)
Entry from Alexandria via LeMat-Bulk: Y2InCl after structural relaxation (PBE).

Calculated volume = 27.281 A^3/atom
Spin magnetization = 0.00 μB per cell

abc: 3.995 6.352 8.600
angles: 90.00 90.00 90.00
Sites, in units of the cell vectors:
Y 0.000 0.000 0.216
Y 0.000 0.000 0.784
Y 0.500 0.500 0.284
Y 0.500 0.500 0.716
In 0.000 0.500 0.000
In 0.500 0.000 0.500
Cl 0.000 0.500 0.500
Cl 0.500 0.000 0.000



(two)
Entry from Alexandria via LeMat-Bulk: Y2InCl after structural relaxation (PBE).

Calculated volume = 27.313 A^3/atom
Spin magnetization = 0.00 μB per cell

abc: 5.413 5.413 3.729
angles: 90.00 90.00 90.00
Sites, in units of the cell vectors:
Y 0.000 0.500 0.000
Y 0.500 0.000 0.000
In 0.000 0.000 0.500
Cl 0.500 0.500 0.000



Ranked by calculated energy, most stable first: (two), (one).



(one)
Entry from Alexandria via LeMat-Bulk: YInCl3 after structural relaxation (PBE).

Calculated volume = 30.624 A^3/atom
Spin magnetization = 0.71 μB per cell

abc: 5.350 5.350 5.350
angles: 90.00 90.00 90.00
Sites, in units of the cell vectors:
Y 0.000 0.000 0.000
In 0.500 0.500 0.500
Cl 0.000 0.000 0.500
Cl 0.000 0.500 0.000
Cl 0.500 0.000 0.000



(two)
Entry from Alexandria via LeMat-Bulk: YInCl3 after structural relaxation (PBE).

Calculated volume = 31.990 A^3/atom
Spin magnetization = 1.50 μB per cell

abc: 5.428 5.428 5.428
angles: 90.00 90.00 90.00
Sites, in units of the cell vectors:
Y 0.000 0.000 0.000
In 0.500 0.500 0.500
Cl 0.000 0.500 0.500
Cl 0.500 0.000 0.500
Cl 0.500 0.500 0.000



Ranked by calculated energy, most stable first: (one), (two).



(one)
Entry from Alexandria via LeMat-Bulk: YIn3Cl after structural relaxation (PBE).

Calculated volume = 31.079 A^3/atom
Spin magnetization = 0.00 μB per cell

abc: 5.376 5.376 5.376
angles: 90.00 90.00 90.00
Sites, in units of the cell vectors:
Y 0.000 0.000 0.000
In 0.000 0.500 0.500
In 0.500 0.000 0.500
In 0.500 0.500 0.000
Cl 0.500 0.500 0.500



(two)
Entry from Alexandria via LeMat-Bulk: YIn3Cl after structural relaxation (PBE).

Calculated volume = 45.471 A^3/atom
Spin magnetization = 2.51 μB per cell

abc: 6.103 6.103 6.103
angles: 90.00 90.00 90.00
Sites, in units of the cell vectors:
Y 0.000 0.000 0.000
In 0.000 0.000 0.500
In 0.000 0.500 0.000
In 0.500 0.000 0.000
Cl 0.500 0.500 0.500



Ranked by calculated energy, most stable first: (one), (two).



(one)
Entry from Alexandria via LeMat-Bulk: Zn2In2Cl after structural relaxation (PBE).

Calculated volume = 23.245 A^3/atom
Spin magnetization = 0.00 μB per cell

abc: 8.262 8.262 3.405
angles: 90.00 90.00 90.00
Sites, in units of the cell vectors:
Zn 0.108 0.392 0.000
Zn 0.392 0.892 0.000
Zn 0.608 0.108 0.000
Zn 0.892 0.608 0.000
In 0.197 0.697 0.500
In 0.303 0.197 0.500
In 0.697 0.803 0.500
In 0.803 0.303 0.500
Cl 0.000 0.000 0.500
Cl 0.500 0.500 0.500



(two)
Entry from Alexandria via LeMat-Bulk: Zn2In2Cl after structural relaxation (PBE).

Calculated volume = 22.882 A^3/atom
Spin magnetization = 0.00 μB per cell

abc: 8.082 8.082 3.503
angles: 90.00 90.00 90.00
Sites, in units of the cell vectors:
Zn 0.111 0.389 0.000
Zn 0.389 0.889 0.000
Zn 0.611 0.111 0.000
Zn 0.889 0.611 0.000
In 0.193 0.693 0.500
In 0.307 0.193 0.500
In 0.693 0.807 0.500
In 0.807 0.307 0.500
Cl 0.000 0.000 0.000
Cl 0.500 0.500 0.000



Ranked by calculated energy, most stable first: (one), (two).



(one)
Entry from Alexandria via LeMat-Bulk: ZrInCl after structural relaxation (PBE).

Calculated volume = 23.731 A^3/atom
Spin magnetization = 0.00 μB per cell

abc: 5.905 3.278 7.392
angles: 90.00 95.73 90.00
Sites, in units of the cell vectors:
Zr 0.239 0.250 0.004
Zr 0.761 0.750 0.996
In 0.455 0.750 0.331
In 0.545 0.250 0.669
Cl 0.057 0.750 0.751
Cl 0.943 0.250 0.249



(two)
Entry from Alexandria via LeMat-Bulk: ZrInCl after structural relaxation (PBE).

Calculated volume = 29.820 A^3/atom
Spin magnetization = 7.91 μB per cell

abc: 7.100 7.100 7.100
angles: 90.00 90.00 90.00
Sites, in units of the cell vectors:
Zr 0.000 0.000 0.000
Zr 0.000 0.500 0.500
Zr 0.500 0.000 0.500
Zr 0.500 0.500 0.000
In 0.250 0.250 0.750
In 0.250 0.750 0.250
In 0.750 0.250 0.250
In 0.750 0.750 0.750
Cl 0.000 0.000 0.500
Cl 0.000 0.500 0.000
Cl 0.500 0.000 0.000
Cl 0.500 0.500 0.500



Ranked by calculated energy, most stable first: (one), (two).



(one)
Entry from Alexandria via LeMat-Bulk: ZrInCl after structural relaxation (PBE).

Calculated volume = 23.908 A^3/atom
Spin magnetization = 0.00 μB per cell

abc: 3.304 3.363 14.858
angles: 93.44 91.91 119.21
Sites, in units of the cell vectors:
Zr 0.000 0.000 0.000
Zr 0.311 0.775 0.491
In 0.261 0.573 0.835
In 0.693 0.495 0.655
Cl 0.376 0.716 0.120
Cl 0.598 0.385 0.371



(two)
Entry from Alexandria via LeMat-Bulk: ZrInCl after structural relaxation (PBE).

Calculated volume = 26.900 A^3/atom
Spin magnetization = 0.00 μB per cell

abc: 3.289 5.744 17.089
angles: 90.00 90.00 90.00
Sites, in units of the cell vectors:
Zr 0.000 0.000 0.000
Zr 0.000 0.500 0.500
Zr 0.500 0.000 0.500
Zr 0.500 0.500 0.000
In 0.000 0.000 0.649
In 0.000 0.500 0.149
In 0.500 0.000 0.149
In 0.500 0.500 0.649
Cl 0.000 0.000 0.384
Cl 0.000 0.500 0.884
Cl 0.500 0.000 0.884
Cl 0.500 0.500 0.384



(three)
Entry from Alexandria via LeMat-Bulk: ZrInCl after structural relaxation (PBE).

Calculated volume = 24.195 A^3/atom
Spin magnetization = 0.00 μB per cell

abc: 5.740 3.373 15.007
angles: 90.00 91.99 90.00
Sites, in units of the cell vectors:
Zr 0.000 0.000 0.000
Zr 0.217 0.500 0.484
Zr 0.500 0.500 0.000
Zr 0.717 0.000 0.484
In 0.326 0.000 0.838
In 0.387 0.000 0.647
In 0.826 0.500 0.838
In 0.887 0.500 0.647
Cl 0.176 0.500 0.118
Cl 0.372 0.000 0.365
Cl 0.676 0.000 0.118
Cl 0.872 0.500 0.365



Ranked by calculated energy, most stable first: (three), (one), (two).



(one)
Entry from Alexandria via LeMat-Bulk: ZrIn2Cl after structural relaxation (PBE).

Calculated volume = 26.066 A^3/atom
Spin magnetization = 0.00 μB per cell

abc: 3.323 3.323 32.711
angles: 90.00 90.00 120.00
Sites, in units of the cell vectors:
Zr 0.000 0.000 0.000
Zr 0.333 0.667 0.667
Zr 0.667 0.333 0.333
In 0.000 0.000 0.492
In 0.000 0.000 0.742
In 0.333 0.667 0.159
In 0.333 0.667 0.409
In 0.667 0.333 0.075
In 0.667 0.333 0.825
Cl 0.000 0.000 0.279
Cl 0.333 0.667 0.946
Cl 0.667 0.333 0.612



(two)
Entry from Alexandria via LeMat-Bulk: ZrIn2Cl after structural relaxation (PBE).

Calculated volume = 24.301 A^3/atom
Spin magnetization = 0.00 μB per cell

abc: 3.179 5.583 10.953
angles: 90.00 90.00 90.00
Sites, in units of the cell vectors:
Zr 0.000 0.000 0.000
Zr 0.500 0.500 0.500
In 0.000 0.000 0.477
In 0.000 0.500 0.254
In 0.500 0.000 0.754
In 0.500 0.500 0.977
Cl 0.000 0.500 0.686
Cl 0.500 0.000 0.186



(three)
Entry from Alexandria via LeMat-Bulk: ZrIn2Cl after structural relaxation (PBE).

Calculated volume = 29.717 A^3/atom
Spin magnetization = 0.00 μB per cell

abc: 9.719 9.719 5.034
angles: 90.00 90.00 90.00
Sites, in units of the cell vectors:
Zr 0.000 0.000 0.000
Zr 0.000 0.500 0.250
Zr 0.500 0.000 0.750
Zr 0.500 0.500 0.500
In 0.170 0.250 0.125
In 0.250 0.670 0.375
In 0.250 0.830 0.875
In 0.330 0.250 0.625
In 0.670 0.750 0.625
In 0.750 0.170 0.875
In 0.750 0.330 0.375
In 0.830 0.750 0.125
Cl 0.000 0.000 0.500
Cl 0.000 0.500 0.750
Cl 0.500 0.000 0.250
Cl 0.500 0.500 0.000



Ranked by calculated energy, most stable first: (one), (two), (three).